First-principles (PBE) data for a geometry-optimized TmMg2 structure, as listed in the Alexandria database.

Output
Formation energy: 0.04 eV per atom
Magnetic moment: 0.000 μB/cell

```
TmMg2
1.0
-2.109 0.167 -2.595
-3.317 0.081 0.446
-12.343 16.849 -4.425
Tm Mg
2 4
Cartesian
-12.271 12.739 -3.636 Tm
-5.498 4.358 -2.937 Tm
-12.551 15.599 -5.424 Mg
-10.786 9.965 -4.883 Mg
-5.219 1.498 -1.149 Mg
-6.984 7.132 -1.691 Mg
```